(w)
Material: LaPu2
Method: DFT, PBE
State: optimized geometry

Summary:
The density of states at the Fermi level comes out at 28.03 states/eV/cell.

Unit cell a=6.2470 b=6.2470 c=6.2470 alpha=60.00 beta=60.00 gamma=60.00
Atoms (fractional coordinates):
1 La 0.1250 0.1250 0.1250
2 La 0.8750 0.8750 0.8750
3 Pu 0.0000 0.5000 0.5000
4 Pu 0.5000 0.0000 0.5000
5 Pu 0.5000 0.5000 0.0000
6 Pu 0.5000 0.5000 0.5000

(x)
Material: LaPu2
Method: DFT, PBE
State: optimized geometry

Summary:
The density of states at the Fermi level comes out at 12.96 states/eV/cell.

Unit cell a=3.2812 b=3.2812 c=12.7559 alpha=90.00 beta=90.00 gamma=90.00
Atoms (fractional coordinates):
1 La 0.0000 0.0000 0.0000
2 La 0.5000 0.5000 0.5000
3 Pu 0.0000 0.0000 0.2829
4 Pu 0.0000 0.0000 0.7171
5 Pu 0.5000 0.5000 0.2171
6 Pu 0.5000 0.5000 0.7829

Relative energy table, unit kJ/mol of atoms: (w) 0.0; (x) 8.8

(w)
Material: La5Pu
Method: DFT, PBE
State: optimized geometry

Summary:
The density of states at the Fermi level comes out at 27.22 states/eV/cell.

Unit cell a=6.0224 b=18.6446 c=3.7419 alpha=90.00 beta=90.00 gamma=90.00
Atoms (fractional coordinates):
1 La 0.0000 0.0000 0.0000
2 La 0.0000 0.1814 0.5000
3 La 0.0000 0.3592 0.0000
4 La 0.0000 0.6408 0.0000
5 La 0.0000 0.8186 0.5000
6 La 0.5000 0.1408 0.0000
7 La 0.5000 0.3186 0.5000
8 La 0.5000 0.5000 0.0000
9 La 0.5000 0.6814 0.5000
10 La 0.5000 0.8592 0.0000
11 Pu 0.0000 0.5000 0.5000
12 Pu 0.5000 0.0000 0.5000

(x)
Material: La5Pu
Method: DFT, PBE
State: optimized geometry

Summary:
The density of states at the Fermi level comes out at 27.42 states/eV/cell.

Unit cell a=12.2134 b=3.6445 c=10.2729 alpha=90.00 beta=114.87 gamma=90.00
Atoms (fractional coordinates):
1 La 0.0000 0.0000 0.0000
2 La 0.1600 0.5000 0.3402
3 La 0.1622 0.5000 0.8176
4 La 0.3378 0.0000 0.1824
5 La 0.3400 0.0000 0.6598
6 La 0.5000 0.5000 0.0000
7 La 0.6600 0.0000 0.3402
8 La 0.6622 0.0000 0.8176
9 La 0.8378 0.5000 0.1824
10 La 0.8400 0.5000 0.6598
11 Pu 0.0000 0.0000 0.5000
12 Pu 0.5000 0.5000 0.5000

Relative energy table, unit kJ/mol of atoms: (w) 4.6; (x) 0.0

(w)
Material: LaPu2Rh
Method: DFT, PBE
State: optimized geometry

Summary:
The density of states at the Fermi level comes out at 13.90 states/eV/cell.

Unit cell a=3.5981 b=3.5981 c=7.7077 alpha=90.00 beta=90.00 gamma=90.00
Atoms (fractional coordinates):
1 La 0.0000 0.0000 0.0000
2 Pu 0.5000 0.5000 0.3026
3 Pu 0.5000 0.5000 0.6974
4 Rh 0.0000 0.0000 0.5000

(x)
Material: LaPu2Rh
Method: DFT, PBE
State: optimized geometry

Summary:
The density of states at the Fermi level comes out at 51.33 states/eV/cell.

Unit cell a=3.6361 b=3.6361 c=29.2979 alpha=90.00 beta=90.00 gamma=120.00
Atoms (fractional coordinates):
1 La 0.0000 0.0000 0.0000
2 La 0.3333 0.6667 0.6667
3 La 0.6667 0.3333 0.3333
4 Pu 0.0000 0.0000 0.1046
5 Pu 0.0000 0.0000 0.8954
6 Pu 0.3333 0.6667 0.5621
7 Pu 0.3333 0.6667 0.7712
8 Pu 0.6667 0.3333 0.2288
9 Pu 0.6667 0.3333 0.4379
10 Rh 0.0000 0.0000 0.5000
11 Rh 0.3333 0.6667 0.1667
12 Rh 0.6667 0.3333 0.8333

Relative energy table, unit kJ/mol of atoms: (w) 0.0; (x) 20.8